1.
{
  "formula": "PmU2O7",
  "functional": "GGA-PBE",
  "state": "optimized geometry",
  "lattice_angstrom": [[-3.770, -0.350, -0.722], [-1.671, -3.471, 0.121], [-3.867, 0.066, 9.877]],
  "species": ["O", "O", "O", "O", "O", "O", "O", "Pm", "U", "U"],
  "fractional_positions": [[0.136, 0.136, 0.592], [0.579, 0.579, 0.263], [0.000, 0.000, 0.000], [0.280, 0.280, 0.159], [0.864, 0.864, 0.408], [0.421, 0.421, 0.737], [0.720, 0.720, 0.841], [0.500, 0.500, 0.500], [0.933, 0.933, 0.200], [0.067, 0.067, 0.800]]
}


2.
{
  "formula": "Pm2UO6",
  "functional": "GGA-PBE",
  "state": "optimized geometry",
  "lattice_angstrom": [[5.927, 0.000, 0.218], [0.000, 5.653, 0.000], [-0.355, 0.000, 9.574]],
  "species": ["Pm", "Pm", "Pm", "Pm", "O", "O", "O", "O", "O", "O", "O", "O", "O", "O", "O", "O", "U", "U"],
  "fractional_positions": [[0.500, 0.000, 0.297], [0.000, 0.500, 0.203], [0.500, 0.000, 0.703], [0.000, 0.500, 0.797], [0.847, 0.796, 0.661], [0.847, 0.796, 0.339], [0.303, 0.835, 0.500], [0.653, 0.296, 0.839], [0.653, 0.296, 0.161], [0.347, 0.704, 0.161], [0.153, 0.204, 0.339], [0.347, 0.704, 0.839], [0.803, 0.665, 0.000], [0.197, 0.335, 0.000], [0.153, 0.204, 0.661], [0.697, 0.165, 0.500], [0.000, 0.000, 0.500], [0.500, 0.500, 0.000]],
  "polymorph_energy_mev_per_atom": 59
}


3.
{
  "formula": "Pm4UO10",
  "functional": "GGA-PBE",
  "state": "optimized geometry",
  "lattice_angstrom": [[4.968, 0.000, 2.243], [2.484, 6.211, 1.122], [-0.072, 0.000, 6.782]],
  "species": ["Pm", "Pm", "Pm", "Pm", "O", "O", "O", "O", "O", "O", "O", "O", "O", "O", "U"],
  "fractional_positions": [[0.201, 0.399, 0.199], [0.400, 0.801, 0.399], [0.799, 0.601, 0.801], [0.600, 0.199, 0.601], [0.750, 0.500, 0.500], [0.580, 0.091, 0.281], [0.420, 0.909, 0.719], [0.139, 0.281, 0.909], [0.952, 0.909, 0.719], [0.329, 0.719, 0.091], [0.048, 0.091, 0.281], [0.861, 0.719, 0.091], [0.250, 0.500, 0.500], [0.671, 0.281, 0.909], [0.000, 0.000, 0.000]]
}


4.
{
  "formula": "Pm6UO12",
  "functional": "GGA-PBE",
  "state": "optimized geometry",
  "lattice_angstrom": [[-6.572, -1.603, -0.145], [1.775, -3.383, 5.584], [-0.498, 6.204, 2.654]],
  "species": ["U", "O", "O", "O", "O", "O", "O", "O", "O", "O", "O", "O", "O", "Pm", "Pm", "Pm", "Pm", "Pm", "Pm"],
  "fractional_positions": [[0.000, 0.000, 0.000], [0.590, 0.434, 0.177], [0.072, 0.302, 0.955], [0.823, 0.410, 0.566], [0.434, 0.177, 0.590], [0.955, 0.072, 0.302], [0.698, 0.045, 0.928], [0.177, 0.590, 0.434], [0.928, 0.698, 0.045], [0.566, 0.823, 0.410], [0.045, 0.928, 0.698], [0.410, 0.566, 0.823], [0.302, 0.955, 0.072], [0.317, 0.611, 0.145], [0.683, 0.389, 0.855], [0.611, 0.145, 0.317], [0.145, 0.317, 0.611], [0.389, 0.855, 0.683], [0.855, 0.683, 0.389]]
}


5.
{
  "formula": "Pm2UO5",
  "functional": "GGA-PBE",
  "state": "optimized geometry",
  "lattice_angstrom": [[6.242, 0.000, 0.000], [0.000, 6.961, 0.000], [0.000, 0.000, 10.169]],
  "species": ["Pm", "Pm", "Pm", "Pm", "Pm", "Pm", "Pm", "Pm", "O", "O", "O", "O", "O", "O", "O", "O", "O", "O", "O", "O", "O", "O", "O", "O", "O", "O", "O", "O", "U", "U", "U", "U"],
  "fractional_positions": [[0.982, 0.001, 0.672], [0.018, 0.501, 0.328], [0.982, 0.499, 0.672], [0.518, 0.499, 0.172], [0.482, 0.999, 0.828], [0.018, 0.999, 0.328], [0.518, 0.001, 0.172], [0.482, 0.501, 0.828], [0.850, 0.475, 0.899], [0.350, 0.975, 0.601], [0.850, 0.025, 0.899], [0.953, 0.750, 0.499], [0.547, 0.750, 0.999], [0.310, 0.250, 0.290], [0.150, 0.975, 0.101], [0.810, 0.750, 0.210], [0.453, 0.250, 0.001], [0.673, 0.250, 0.685], [0.190, 0.250, 0.790], [0.650, 0.475, 0.399], [0.150, 0.525, 0.101], [0.047, 0.250, 0.501], [0.173, 0.750, 0.815], [0.827, 0.250, 0.185], [0.650, 0.025, 0.399], [0.327, 0.750, 0.315], [0.350, 0.525, 0.601], [0.690, 0.750, 0.710], [0.544, 0.750, 0.497], [0.956, 0.750, 0.997], [0.456, 0.250, 0.503], [0.044, 0.250, 0.003]]
}


6.
{
  "formula": "PmUO2",
  "functional": "GGA-PBE",
  "state": "optimized geometry",
  "lattice_angstrom": [[-0.433, 1.077, -3.550], [-3.428, 0.323, -1.449], [-1.508, 6.642, 0.233]],
  "species": ["O", "O", "U", "Pm"],
  "fractional_positions": [[0.111, 0.111, 0.666], [0.889, 0.889, 0.334], [0.000, 0.000, 0.000], [0.500, 0.500, 0.500]]
}


| no. | E (eV per atom) | formation energy (no corrections) (eV/atom) |
| --- | --- | --- |
| 1 | -9.46 | -3.2568 |
| 2 | -8.95 | -3.3359 |
| 3 | -8.41 | -3.0889 |
| 4 | -8.68 | -3.4497 |
| 5 | -8.99 | -3.2931 |
| 6 | -8.95 | -2.4586 |